1.
5
Lattice="-0.5097 0.6164 -2.6868 3.6031 -3.9007 -1.5785 -5.3010 -1.4626 0.6702" Properties=species:S:1:pos:R:3 comment="PBE-GGA LiTcO3, optimized geometry" formation_energy_uncorrected_ev_per_atom=-1.6051 sg="Amm2 (38)" pbc="T T T"
O -1.7454 -3.4415 -1.9208
O -3.3764 -1.9896 0.1841
O -1.0208 -1.1525 -1.5332
Li -4.8944 -1.3355 -0.8403
Tc -1.7364 -2.4386 -0.2300


2.
5
Lattice="4.0485 0.0000 0.0000 0.0000 4.0485 0.0000 0.0000 0.0000 4.0485" Properties=species:S:1:pos:R:3 comment="PBE-GGA LiTc3O, optimized geometry" formation_energy_uncorrected_ev_per_atom=0.1735 sg="Pm-3m (221)" e_above_lowest_polymorph_kcal_per_mol_atoms=0.00 pbc="T T T"
Tc 0.0000 0.0000 2.0243
Tc 2.0243 0.0000 0.0000
Tc 0.0000 2.0243 0.0000
Li 2.0243 2.0243 2.0243
O 0.0000 0.0000 0.0000


3.
13
Lattice="-1.3084 1.3971 1.9954 -6.5661 1.6235 -3.5265 -4.0577 -5.4709 3.0854" Properties=species:S:1:pos:R:3 comment="PBE-GGA LiTc4O8, optimized geometry" formation_energy_uncorrected_ev_per_atom=-1.3768 sg="Cm (8)" pbc="T T T"
O -3.9668 -0.8994 -0.0557
O -7.9195 -1.6613 1.7174
O -4.7263 1.2754 -2.0763
O -9.0852 -1.8385 -0.8387
O -2.8338 -0.8896 2.5961
O -5.2843 -2.4771 2.1008
O -6.5837 -0.0863 -0.4251
O -3.0906 1.6742 0.6328
Tc -6.9759 -3.4906 1.7012
Tc -8.3736 -0.2541 0.4345
Tc -3.4810 -2.2890 1.2358
Tc -4.8753 0.9076 -0.0007
Li -9.9588 -2.4589 0.9386


4.
5
Lattice="-1.8693 4.5276 0.7196 -4.5527 -1.7420 -0.8661 -0.5388 -0.9887 4.8212" Properties=species:S:1:pos:R:3 comment="PBE-GGA Li3TcO, optimized geometry" formation_energy_uncorrected_ev_per_atom=1.2831 sg="Pm-3m (221)" e_above_lowest_polymorph_kcal_per_mol_atoms=33.07 pbc="T T T"
Li -0.2694 -0.4943 2.4106
Li -2.2763 -0.8710 -0.4330
Li -0.9347 2.2638 0.3598
Tc 0.0000 0.0000 0.0000
O -3.4804 0.8984 2.3373


5.
5
Lattice="-3.0670 2.2001 -0.0164 -4.1198 -2.5279 -2.8796 -1.2327 -1.7044 1.8803" Properties=species:S:1:pos:R:3 comment="PBE-GGA LiTcO3, optimized geometry" formation_energy_uncorrected_ev_per_atom=-1.5510 sg="Imm2 (44)" pbc="T T T"
O -3.8683 -1.1763 0.9048
O -5.3217 0.0213 -1.0793
O -4.9765 -2.7373 -1.2365
Tc -3.8088 -1.1077 -1.1106
Li -0.7978 -0.1431 -0.3748


6.
5
Lattice="3.9157 0.0000 0.0000 0.0000 3.9157 0.0000 0.0000 0.0000 3.8117" Properties=species:S:1:pos:R:3 comment="PBE-GGA LiTcO3, optimized geometry" formation_energy_uncorrected_ev_per_atom=-1.5561 sg="P4mm (99)" pbc="T T T"
Tc 0.0000 0.0000 1.1995
O 0.0000 0.0000 3.1331
O 1.9578 0.0000 1.2579
O 0.0000 1.9578 1.2579
Li 1.9578 1.9578 1.7803


7.
10
Lattice="17.1545 0.0000 -2.1549 6.6853 1.3892 -3.4136 -6.6853 1.3892 3.4136" Properties=species:S:1:pos:R:3 comment="PBE-GGA LiTcO3, optimized geometry" formation_energy_uncorrected_ev_per_atom=-1.5559 sg="C2/m (12)" pbc="T T T"
Li 9.0352 1.3892 -3.5220
Li 8.1193 1.3892 1.3670
O 10.5117 1.3892 -2.2350
O 9.6066 1.3892 0.0347
O 18.9651 1.3892 -3.5299
O 6.6428 1.3892 0.0800
O -1.8106 1.3892 1.3750
O 7.5479 1.3892 -2.1897
Tc -0.2061 1.3892 2.1054
Tc 17.3606 1.3892 -4.2604


8.
20
Lattice="5.3287 0.0000 0.0000 0.0000 7.4311 0.0000 0.0000 0.0000 5.1276" Properties=species:S:1:pos:R:3 comment="PBE-GGA LiTcO3, optimized geometry" formation_energy_uncorrected_ev_per_atom=-1.5946 sg="Pnma (62)" pbc="T T T"
Li 0.0854 1.8578 0.0244
Li 5.2433 5.5733 5.1032
Li 2.7498 1.8578 2.5394
Li 2.5789 5.5733 2.5882
O 1.0234 4.1457 4.1754
O 5.1850 1.8578 3.1628
O 4.3053 3.2854 0.9523
O 4.3053 0.4301 0.9523
O 1.6410 3.2854 1.6116
O 2.8081 5.5733 0.5990
O 3.6877 7.0010 3.5161
O 1.6410 0.4301 1.6116
O 0.1437 5.5733 1.9648
O 3.6877 4.1457 3.5161
O 2.5206 1.8578 4.5287
O 1.0234 7.0010 4.1754
Tc 2.6644 3.7155 0.0000
Tc 2.6644 0.0000 0.0000
Tc 0.0000 3.7155 2.5638
Tc 0.0000 0.0000 2.5638